Entry 1:
A relaxed PaTaZn crystal, computed with PBE.

Summary:
ΔH_f (0 K) = 212.6 meV per atom
Relative energy among the computed polymorphs = 145 meV per atom
D(E_F) = 8.6 states/eV per cell

abc: 3.491 3.491 9.556
angles: 90.00 90.00 90.00
Space group P4/nmm (No. 129, origin choice 2)
Asymmetric unit:
Pa (0.250, 0.250, 0.094) [2 per cell]
Ta (0.250, 0.250, 0.728) [2 per cell]
Zn (0.250, 0.250, 0.422) [2 per cell]


Entry 2:
A relaxed Pa2TaZn6 crystal, computed with PBE.

Summary:
ΔH_f (0 K) = 4.2 meV per atom
D(E_F) = 10.2 states/eV per cell

abc: 7.8465 7.8465 3.0436
angles: 90.00 90.00 120.00
Space group P6/mmm (No. 191)
Asymmetric unit:
Pa (0.3333, 0.6667, 0.0000) [2 per cell]
Ta (0.0000, 0.0000, 0.0000) [1 per cell]
Zn (0.0000, 0.3184, 0.5000) [6 per cell]


Entry 3:
A relaxed PaTaZn4 crystal, computed with PBE.

Summary:
ΔH_f (0 K) = -6.7 meV per atom
D(E_F) = 16.0 states/eV per cell

abc: 7.440 7.440 7.440
angles: 90.00 90.00 90.00
Space group F-43m (No. 216)
Asymmetric unit:
Pa (0.000, 0.000, 0.000) [4 per cell]
Ta (0.250, 0.250, 0.250) [4 per cell]
Zn (0.124, 0.124, 0.624) [16 per cell]


Entry 4:
A relaxed ZrPaTa crystal, computed with PBE.

Summary:
ΔH_f (0 K) = 152.2 meV per atom
Relative energy among the computed polymorphs = 28 meV per atom
D(E_F) = 7.3 states/eV per cell

abc: 3.498 3.498 10.636
angles: 90.00 90.00 90.00
Space group I4mm (No. 107)
Asymmetric unit:
Zr (0.000, 0.000, 0.000) [2 per cell]
Pa (0.000, 0.000, 0.678) [2 per cell]
Ta (0.000, 0.000, 0.326) [2 per cell]


Entry 5:
A relaxed ZrPaTa crystal, computed with PBE.

Summary:
ΔH_f (0 K) = 124.5 meV per atom
Relative energy among the computed polymorphs = 0 meV per atom
D(E_F) = 3.8 states/eV per cell

abc: 4.8769 4.8769 3.1516
angles: 90.00 90.00 120.00
Space group P3m1 (No. 156)
Asymmetric unit:
Zr (0.0000, 0.0000, 0.0000) [1 per cell]
Pa (0.6667, 0.3333, 0.3556) [1 per cell]
Ta (0.3333, 0.6667, 0.6560) [1 per cell]


Entry 6:
A relaxed ZrPaTa crystal, computed with PBE.

Summary:
ΔH_f (0 K) = 279.4 meV per atom
Relative energy among the computed polymorphs = 155 meV per atom
D(E_F) = 16.7 states/eV per cell

abc: 2.949 2.949 30.897
angles: 90.00 90.00 90.00
Space group I4/mmm (No. 139)
Asymmetric unit:
Zr (0.000, 0.000, 0.050) [4 per cell]
Pa (0.000, 0.000, 0.366) [4 per cell]
Ta (0.000, 0.000, 0.214) [4 per cell]


Entry 7:
A relaxed TbPa crystal, computed with PBE.

Summary:
ΔH_f (0 K) = 187.7 meV per atom
Relative energy among the computed polymorphs = 13 meV per atom
D(E_F) = 3.3 states/eV per cell

abc: 3.3132 3.3132 5.7964
angles: 90.00 90.00 120.00
Space group P-6m2 (No. 187)
Asymmetric unit:
Tb (0.0000, 0.0000, 0.0000) [1 per cell]
Pa (0.3333, 0.6667, 0.5000) [1 per cell]


Entry 8:
A relaxed TbPa crystal, computed with PBE.

Summary:
ΔH_f (0 K) = 174.5 meV per atom
Relative energy among the computed polymorphs = 0 meV per atom
D(E_F) = 6.4 states/eV per cell

abc: 3.355 4.720 7.047
angles: 90.00 90.00 90.00
Space group Pmmn (No. 59, origin choice 2)
Asymmetric unit:
Tb (0.250, 0.250, 0.131) [2 per cell]
Pa (0.250, 0.250, 0.610) [2 per cell]


Computed total energy, in the same sequence as the records: -43.97, -38.45, -105.94, -58.88, -29.52, -116.23, -13.75, -27.55 eV per cell.